Entry 1:
# Ho2ErScSb4 PBE-GGA optimized geometry
data_Ho2ErScSb4
_chemical_formula_sum 'Ho2 Er1 Sc1 Sb4'
_symmetry_space_group_name_H-M 'P 1'
_symmetry_Int_Tables_number 1
_cell_length_a 7.4750
_cell_length_b 4.3197
_cell_length_c 7.4761
_cell_angle_alpha 90.00
_cell_angle_beta 109.48
_cell_angle_gamma 90.00
loop_
_symmetry_equiv_pos_as_xyz
'x,y,z'
loop_
_atom_site_label
_atom_site_fract_x
_atom_site_fract_y
_atom_site_fract_z
_atom_site_occupancy
Ho1 0.0000 0.0000 0.0000 1
Ho2 0.0000 0.5000 0.5000 1
Er1 0.5000 0.0000 0.5000 1
Sc1 0.5000 0.5000 0.0000 1
Sb1 0.2552 0.5000 0.2463 1
Sb2 0.2593 0.0000 0.7586 1
Sb3 0.7407 0.0000 0.2414 1
Sb4 0.7448 0.5000 0.7537 1
# - VASP energy (eV/atom) = -5.623
# - total magnetic moment (μB per atom) = 0.00
# - space group = No. 10
# - formation energy (no corrections) (eV per atom) = -1.06

=====

Entry 2:
# Ce2PaAs3 PBE-GGA optimized geometry
data_Ce2PaAs3
_chemical_formula_sum 'Ce4 Pa2 As6'
_symmetry_space_group_name_H-M 'P 1'
_symmetry_Int_Tables_number 1
_cell_length_a 7.2206
_cell_length_b 7.2206
_cell_length_c 7.2314
_cell_angle_alpha 99.58
_cell_angle_beta 99.58
_cell_angle_gamma 119.99
loop_
_symmetry_equiv_pos_as_xyz
'x,y,z'
loop_
_atom_site_label
_atom_site_fract_x
_atom_site_fract_y
_atom_site_fract_z
_atom_site_occupancy
Ce1 0.0000 0.0000 0.0000 1
Ce2 0.1648 0.8352 0.5000 1
Ce3 0.5000 0.5000 0.5000 1
Ce4 0.8352 0.1648 0.5000 1
Pa1 0.3329 0.6671 0.0000 1
Pa2 0.6671 0.3329 0.0000 1
As1 0.0813 0.4203 0.2433 1
As2 0.2586 0.2586 0.7580 1
As3 0.4203 0.0813 0.2433 1
As4 0.5797 0.9187 0.7567 1
As5 0.7414 0.7414 0.2420 1
As6 0.9187 0.5797 0.7567 1
# - ΔE_f (meV per atom) = -1302
# - energy relative to the lowest polymorph listed for this composition (eV/atom) = 0.000
# - VASP energy (eV/atom) = -7.188
# - total magnetic moment (μB per atom) = 0.26
# - space group = No. 12

=====

Entry 3:
# ThMg2CdAg2 PBE-GGA optimized geometry
data_ThMg2CdAg2
_chemical_formula_sum 'Th1 Mg2 Cd1 Ag2'
_symmetry_space_group_name_H-M 'P 1'
_symmetry_Int_Tables_number 1
_cell_length_a 4.8308
_cell_length_b 4.8308
_cell_length_c 6.6685
_cell_angle_alpha 90.00
_cell_angle_beta 90.00
_cell_angle_gamma 120.00
loop_
_symmetry_equiv_pos_as_xyz
'x,y,z'
loop_
_atom_site_label
_atom_site_fract_x
_atom_site_fract_y
_atom_site_fract_z
_atom_site_occupancy
Th1 0.0000 0.0000 0.0000 1
Mg1 0.3333 0.6667 0.6782 1
Mg2 0.6667 0.3333 0.3218 1
Cd1 0.0000 0.0000 0.5000 1
Ag1 0.3333 0.6667 0.2327 1
Ag2 0.6667 0.3333 0.7673 1
# - ΔE_f (meV per atom) = -144
# - VASP energy (eV/atom) = -3.016
# - total magnetic moment (μB per atom) = 0.00
# - space group = No. 164

=====

Entry 4:
# CeY2Er PBE-GGA optimized geometry
data_CeY2Er
_chemical_formula_sum 'Ce3 Y6 Er3'
_symmetry_space_group_name_H-M 'P 1'
_symmetry_Int_Tables_number 1
_cell_length_a 3.5428
_cell_length_b 3.5428
_cell_length_c 34.6211
_cell_angle_alpha 90.00
_cell_angle_beta 90.00
_cell_angle_gamma 120.00
loop_
_symmetry_equiv_pos_as_xyz
'x,y,z'
loop_
_atom_site_label
_atom_site_fract_x
_atom_site_fract_y
_atom_site_fract_z
_atom_site_occupancy
Ce1 0.0000 0.0000 0.0000 1
Ce2 0.3333 0.6667 0.6667 1
Ce3 0.6667 0.3333 0.3333 1
Y1 0.0000 0.0000 0.2502 1
Y2 0.0000 0.0000 0.4178 1
Y3 0.3333 0.6667 0.0845 1
Y4 0.3333 0.6667 0.9169 1
Y5 0.6667 0.3333 0.5836 1
Y6 0.6667 0.3333 0.7511 1
Er1 0.0000 0.0000 0.8344 1
Er2 0.3333 0.6667 0.5011 1
Er3 0.6667 0.3333 0.1677 1
# - ΔE_f (meV per atom) = 63
# - energy relative to the lowest polymorph listed for this composition (eV/atom) = 0.000
# - VASP energy (eV/atom) = -5.793
# - total magnetic moment (μB per atom) = 0.21
# - space group = No. 160

=====

Entry 5:
# CuI2F PBE-GGA optimized geometry
data_CuI2F
_chemical_formula_sum 'Cu2 I4 F2'
_symmetry_space_group_name_H-M 'P 1'
_symmetry_Int_Tables_number 1
_cell_length_a 4.5601
_cell_length_b 12.3760
_cell_length_c 4.5606
_cell_angle_alpha 90.00
_cell_angle_beta 110.17
_cell_angle_gamma 90.00
loop_
_symmetry_equiv_pos_as_xyz
'x,y,z'
loop_
_atom_site_label
_atom_site_fract_x
_atom_site_fract_y
_atom_site_fract_z
_atom_site_occupancy
Cu1 0.1257 0.2500 0.1192 1
Cu2 0.8743 0.7500 0.8808 1
I1 0.1641 0.5909 0.1674 1
I2 0.1641 0.9091 0.1674 1
I3 0.8359 0.0909 0.8326 1
I4 0.8359 0.4091 0.8326 1
F1 0.4927 0.2500 0.4811 1
F2 0.5073 0.7500 0.5189 1
# - energy relative to the lowest polymorph listed for this composition (eV/atom) = 0.000
# - VASP energy (eV/atom) = -2.783
# - total magnetic moment (μB per atom) = 0.00
# - space group = No. 11
# - formation energy (no corrections) (eV per atom) = -0.52

=====

Entry 6:
# ThAl3PdPt PBE-GGA optimized geometry
data_ThAl3PdPt
_chemical_formula_sum 'Th2 Al6 Pd2 Pt2'
_symmetry_space_group_name_H-M 'P 1'
_symmetry_Int_Tables_number 1
_cell_length_a 7.3871
_cell_length_b 7.3871
_cell_length_c 5.6971
_cell_angle_alpha 90.00
_cell_angle_beta 90.00
_cell_angle_gamma 131.95
loop_
_symmetry_equiv_pos_as_xyz
'x,y,z'
loop_
_atom_site_label
_atom_site_fract_x
_atom_site_fract_y
_atom_site_fract_z
_atom_site_occupancy
Th1 0.2055 0.7945 0.7500 1
Th2 0.7945 0.2055 0.2500 1
Al1 0.2142 0.2142 0.0000 1
Al2 0.2142 0.2142 0.5000 1
Al3 0.3684 0.6316 0.2500 1
Al4 0.6316 0.3684 0.7500 1
Al5 0.7858 0.7858 0.0000 1
Al6 0.7858 0.7858 0.5000 1
Pd1 0.1673 0.8327 0.2500 1
Pd2 0.8327 0.1673 0.7500 1
Pt1 0.4099 0.5901 0.7500 1
Pt2 0.5901 0.4099 0.2500 1
# - ΔE_f (meV per atom) = -648
# - VASP energy (eV/atom) = -5.628
# - total magnetic moment (μB per atom) = 0.00
# - space group = No. 63

=====

Entry 7:
# AlCuNi PBE-GGA optimized geometry
data_AlCuNi
_chemical_formula_sum 'Al4 Cu4 Ni4'
_symmetry_space_group_name_H-M 'P 1'
_symmetry_Int_Tables_number 1
_cell_length_a 3.7307
_cell_length_b 3.7307
_cell_length_c 11.5351
_cell_angle_alpha 90.00
_cell_angle_beta 90.00
_cell_angle_gamma 90.00
loop_
_symmetry_equiv_pos_as_xyz
'x,y,z'
loop_
_atom_site_label
_atom_site_fract_x
_atom_site_fract_y
_atom_site_fract_z
_atom_site_occupancy
Al1 0.0000 0.5000 0.2500 1
Al2 0.0000 0.5000 0.7500 1
Al3 0.5000 0.0000 0.2500 1
Al4 0.5000 0.0000 0.7500 1
Cu1 0.0000 0.0000 0.1014 1
Cu2 0.0000 0.0000 0.8986 1
Cu3 0.5000 0.5000 0.3986 1
Cu4 0.5000 0.5000 0.6014 1
Ni1 0.0000 0.0000 0.3922 1
Ni2 0.0000 0.0000 0.6078 1
Ni3 0.5000 0.5000 0.1078 1
Ni4 0.5000 0.5000 0.8922 1
# - ΔE_f (meV per atom) = -62
# - energy relative to the lowest polymorph listed for this composition (eV/atom) = 0.341
# - VASP energy (eV/atom) = -4.602
# - total magnetic moment (μB per atom) = 0.00
# - space group = No. 139

=====

Entry 8:
# Tl12I5Cl3 PBE-GGA optimized geometry
data_Tl12I5Cl3
_chemical_formula_sum 'Tl48 I20 Cl12'
_symmetry_space_group_name_H-M 'P 1'
_symmetry_Int_Tables_number 1
_cell_length_a 16.8691
_cell_length_b 16.8691
_cell_length_c 16.8691
_cell_angle_alpha 109.47
_cell_angle_beta 109.47
_cell_angle_gamma 109.47
loop_
_symmetry_equiv_pos_as_xyz
'x,y,z'
loop_
_atom_site_label
_atom_site_fract_x
_atom_site_fract_y
_atom_site_fract_z
_atom_site_occupancy
Tl1 0.0482 0.6253 0.3784 1
Tl2 0.0482 0.9228 0.6698 1
Tl3 0.0772 0.2470 0.1253 1
Tl4 0.0772 0.3302 0.9518 1
Tl5 0.1216 0.7470 0.6698 1
Tl6 0.1216 0.8747 0.4518 1
Tl7 0.1253 0.0772 0.2470 1
Tl8 0.1253 0.5482 0.8784 1
Tl9 0.1698 0.2470 0.6216 1
Tl10 0.1698 0.4228 0.5482 1
Tl11 0.2470 0.1253 0.0772 1
Tl12 0.2470 0.6216 0.1698 1
Tl13 0.2530 0.3302 0.8784 1
Tl14 0.2530 0.4228 0.3747 1
Tl15 0.3302 0.8784 0.2530 1
Tl16 0.3302 0.9518 0.0772 1
Tl17 0.3747 0.2530 0.4228 1
Tl18 0.3747 0.6216 0.9518 1
Tl19 0.3784 0.0482 0.6253 1
Tl20 0.3784 0.8302 0.7530 1
Tl21 0.4228 0.3747 0.2530 1
Tl22 0.4228 0.5482 0.1698 1
Tl23 0.4518 0.1216 0.8747 1
Tl24 0.4518 0.8302 0.5772 1
Tl25 0.5482 0.1698 0.4228 1
Tl26 0.5482 0.8784 0.1253 1
Tl27 0.5772 0.4518 0.8302 1
Tl28 0.5772 0.6253 0.7470 1
Tl29 0.6216 0.1698 0.2470 1
Tl30 0.6216 0.9518 0.3747 1
Tl31 0.6253 0.3784 0.0482 1
Tl32 0.6253 0.7470 0.5772 1
Tl33 0.6698 0.0482 0.9228 1
Tl34 0.6698 0.1216 0.7470 1
Tl35 0.7470 0.5772 0.6253 1
Tl36 0.7470 0.6698 0.1216 1
Tl37 0.7530 0.3784 0.8302 1
Tl38 0.7530 0.8747 0.9228 1
Tl39 0.8302 0.5772 0.4518 1
Tl40 0.8302 0.7530 0.3784 1
Tl41 0.8747 0.4518 0.1216 1
Tl42 0.8747 0.9228 0.7530 1
Tl43 0.8784 0.1253 0.5482 1
Tl44 0.8784 0.2530 0.3302 1
Tl45 0.9228 0.6698 0.0482 1
Tl46 0.9228 0.7530 0.8747 1
Tl47 0.9518 0.0772 0.3302 1
Tl48 0.9518 0.3747 0.6216 1
I1 0.0000 0.0000 0.0000 1
I2 0.0000 0.0000 0.5000 1
I3 0.0000 0.5000 0.0000 1
I4 0.0000 0.5000 0.5000 1
I5 0.1250 0.7500 0.8750 1
I6 0.1250 0.8750 0.2500 1
I7 0.2500 0.1250 0.8750 1
I8 0.2500 0.6250 0.3750 1
I9 0.3750 0.2500 0.6250 1
I10 0.3750 0.6250 0.7500 1
I11 0.5000 0.0000 0.0000 1
I12 0.5000 0.0000 0.5000 1
I13 0.5000 0.5000 0.0000 1
I14 0.5000 0.5000 0.5000 1
I15 0.6250 0.3750 0.2500 1
I16 0.6250 0.7500 0.3750 1
I17 0.7500 0.3750 0.6250 1
I18 0.7500 0.8750 0.1250 1
I19 0.8750 0.1250 0.7500 1
I20 0.8750 0.2500 0.1250 1
Cl1 0.1250 0.2500 0.3750 1
Cl2 0.1250 0.3750 0.7500 1
Cl3 0.2500 0.3750 0.1250 1
Cl4 0.2500 0.8750 0.6250 1
Cl5 0.3750 0.1250 0.2500 1
Cl6 0.3750 0.7500 0.1250 1
Cl7 0.6250 0.2500 0.8750 1
Cl8 0.6250 0.8750 0.7500 1
Cl9 0.7500 0.1250 0.3750 1
Cl10 0.7500 0.6250 0.8750 1
Cl11 0.8750 0.6250 0.2500 1
Cl12 0.8750 0.7500 0.6250 1
# - VASP energy (eV/atom) = -2.489
# - total magnetic moment (μB per atom) = 0.00
# - space group = No. 230
# - formation energy (no corrections) (eV per atom) = -0.40

=====

Entry 9:
# ScTl2Au2 PBE-GGA optimized geometry
data_ScTl2Au2
_chemical_formula_sum 'Sc2 Tl4 Au4'
_symmetry_space_group_name_H-M 'P 1'
_symmetry_Int_Tables_number 1
_cell_length_a 7.2405
_cell_length_b 7.2405
_cell_length_c 4.5851
_cell_angle_alpha 90.00
_cell_angle_beta 90.00
_cell_angle_gamma 90.00
loop_
_symmetry_equiv_pos_as_xyz
'x,y,z'
loop_
_atom_site_label
_atom_site_fract_x
_atom_site_fract_y
_atom_site_fract_z
_atom_site_occupancy
Sc1 0.0000 0.0000 0.0000 1
Sc2 0.5000 0.5000 0.0000 1
Tl1 0.1769 0.3231 0.5000 1
Tl2 0.3231 0.8231 0.5000 1
Tl3 0.6769 0.1769 0.5000 1
Tl4 0.8231 0.6769 0.5000 1
Au1 0.1358 0.6358 0.0000 1
Au2 0.3642 0.1358 0.0000 1
Au3 0.6358 0.8642 0.0000 1
Au4 0.8642 0.3642 0.0000 1
# - ΔE_f (meV per atom) = -167
# - energy relative to the lowest polymorph listed for this composition (eV/atom) = 0.000
# - VASP energy (eV/atom) = -3.691
# - total magnetic moment (μB per atom) = 0.00
# - space group = No. 127

=====

Entry 10:
# CaPm2ErSe4 PBE-GGA optimized geometry
data_CaPm2ErSe4
_chemical_formula_sum 'Ca1 Pm2 Er1 Se4'
_symmetry_space_group_name_H-M 'P 1'
_symmetry_Int_Tables_number 1
_cell_length_a 7.1547
_cell_length_b 4.1182
_cell_length_c 7.2609
_cell_angle_alpha 90.00
_cell_angle_beta 108.94
_cell_angle_gamma 90.00
loop_
_symmetry_equiv_pos_as_xyz
'x,y,z'
loop_
_atom_site_label
_atom_site_fract_x
_atom_site_fract_y
_atom_site_fract_z
_atom_site_occupancy
Ca1 0.0000 0.0000 0.0000 1
Pm1 0.0000 0.5000 0.5000 1
Pm2 0.5000 0.0000 0.5000 1
Er1 0.5000 0.5000 0.0000 1
Se1 0.2505 0.5000 0.2402 1
Se2 0.2568 0.0000 0.7629 1
Se3 0.7432 0.0000 0.2371 1
Se4 0.7495 0.5000 0.7598 1
# - VASP energy (eV/atom) = -5.586
# - total magnetic moment (μB per atom) = 0.00
# - space group = No. 10
# - formation energy (no corrections) (eV per atom) = -1.84